Entry 1:
Entry from Alexandria: Nb2V3Fe after structural relaxation (GGA-PBE).

Calculated values
- volume (Å³ per cell) = 87.94

a b c (Å): 4.957 4.957 4.957
angles (deg): 60.93 60.93 60.93
Sites, in units of the cell vectors:
Nb 0.126 0.126 0.126
Nb 0.874 0.874 0.874
V 0.000 0.500 0.500
V 0.500 0.000 0.500
V 0.500 0.500 0.000
Fe 0.500 0.500 0.500

=====

Entry 2:
Entry from Alexandria: TlTcBi2Ir after structural relaxation (GGA-PBE).

Calculated values
- volume (Å³ per cell) = 149.12

a b c (Å): 5.375 5.375 5.161
angles (deg): 90.00 90.00 90.00
Sites, in units of the cell vectors:
Tl 0.000 0.000 0.000
Tc 0.500 0.500 0.000
Bi 0.000 0.500 0.500
Bi 0.500 0.000 0.500
Ir 0.000 0.000 0.500

=====

Entry 3:
Entry from Alexandria: Dy3Y2Pb4 after structural relaxation (GGA-PBE).

Calculated values
- volume (Å³ per cell) = 267.20

a b c (Å): 8.594 8.594 6.794
angles (deg): 104.24 104.24 33.43
Sites, in units of the cell vectors:
Dy 0.000 0.000 0.000
Dy 0.113 0.113 0.584
Dy 0.887 0.887 0.416
Y 0.331 0.331 0.929
Y 0.669 0.669 0.071
Pb 0.249 0.249 0.312
Pb 0.492 0.492 0.718
Pb 0.508 0.508 0.282
Pb 0.751 0.751 0.688

=====

In the order shown, the computed energy relative to the elements values come out to -0.144, 1.140, -0.442 eV/atom.
In the order shown, the computed energy values come out to -9.47, -4.73, -5.06 eV/atom.